## NbGe3Ru (PBE)

Data for crystalline NbGe3Ru at its relaxed geometry.

It has space group Pm-3m (No. 221), with a = 4.738 Å, b = 4.738 Å, c = 4.738 Å, α = 90.00°, β = 90.00° and γ = 90.00°. The inequivalent atoms are Nb at (0.000, 0.000, 0.000), Ge at (0.000, 0.500, 0.500) and Ru at (0.500, 0.500, 0.500).

The value obtained for the formation enthalpy at 0 K is 0.811 eV per atom. The value obtained for the energy above the most stable polymorph in this dataset is 0.000 eV per atom.